DFT (PBE) results for crystalline SrLiAcSb at its relaxed geometry.

Cell and atoms, written as POSCAR:
```
SrLiAcSb
1.0
0.000 4.031 4.031
4.031 0.000 4.031
4.031 4.031 0.000
Sr Li Ac Sb
1 1 1 1
direct
0.000 0.000 0.000 Sr
0.750 0.750 0.750 Li
0.500 0.500 0.500 Ac
0.250 0.250 0.250 Sb
```

For the uncorrected formation energy, the calculation gives -10.0 kcal/mol of atoms. For the final energy, the calculation gives -3.3900 eV per atom. Its space group is No. 216.

DFT (PBE) results for crystalline SrLi2AcSb2 at its relaxed geometry.

Cell and atoms, written as POSCAR:
```
SrLi2AcSb2
1.0
4.764 0.000 0.000
-2.382 4.126 0.000
0.000 0.000 8.666
Sr Li Ac Sb
1 2 1 2
direct
0.000 0.000 0.000 Sr
0.333 0.667 0.244 Li
0.667 0.333 0.756 Li
0.000 0.000 0.500 Ac
0.333 0.667 0.751 Sb
0.667 0.333 0.249 Sb
```

For the uncorrected formation energy, the calculation gives -20.8 kcal/mol of atoms. For the final energy, the calculation gives -3.8775 eV per atom. Its space group is No. 164.

DFT (PBE) results for crystalline Sr2Li2AcSb2 at its relaxed geometry.

Cell and atoms, written as POSCAR:
```
Sr2Li2AcSb2
1.0
2.332 1.347 12.518
-2.332 1.347 12.518
0.000 -2.693 12.518
Sr Li Ac Sb
2 2 1 2
direct
0.120 0.120 0.120 Sr
0.880 0.880 0.880 Sr
0.395 0.395 0.395 Li
0.605 0.605 0.605 Li
0.000 0.000 0.000 Ac
0.274 0.274 0.274 Sb
0.726 0.726 0.726 Sb
```

For the uncorrected formation energy, the calculation gives -16.9 kcal/mol of atoms. For the final energy, the calculation gives -3.5270 eV per atom. Its space group is No. 166.

DFT (PBE) results for crystalline LiAcSbTe at its relaxed geometry.

Cell and atoms, written as POSCAR:
```
LiAcSbTe
1.0
4.604 0.000 0.000
0.000 4.604 0.000
0.000 0.000 10.965
Li Ac Sb Te
2 2 2 2
direct
0.250 0.750 0.000 Li
0.750 0.250 0.000 Li
0.250 0.250 0.264 Ac
0.750 0.750 0.736 Ac
0.250 0.250 0.845 Sb
0.750 0.750 0.155 Sb
0.250 0.750 0.500 Te
0.750 0.250 0.500 Te
```

For the uncorrected formation energy, the calculation gives -22.9 kcal/mol of atoms. For the final energy, the calculation gives -4.3135 eV per atom. Its space group is No. 129.